(1)
This record from Alexandria via LeMat-Bulk describes a geometry-optimized PuPa2Pt2 structure. The functional is GGA-PBE.

## Properties
total magnetization = 4.81 Bohr magnetons per cell
E above lowest polymorph = 191 meV/atom
symmetry = P-3m1, No. 164
ΔE_f = -0.42 eV per atom
density = 15.0 g/cm3
volume = 24.30 Å³/atom

Cell: 4.6506 4.6506 6.4868 Å, 90.00 90.00 120.00°
With the nearest neighbours (Å) after each atom.
Positions (direct):
Pu 0.0000 0.0000 0.0000  6 Pt 2.94
Pa 0.3333 0.6667 0.6346  4 Pt 2.93, 3 Pa 3.20
Pa 0.6667 0.3333 0.3654  4 Pt 2.93, 3 Pa 3.20
Pt 0.3333 0.6667 0.1831  4 Pa 2.93, 3 Pu 2.94
Pt 0.6667 0.3333 0.8169  4 Pa 2.93, 3 Pu 2.94

(2)
This record from Alexandria via LeMat-Bulk describes a geometry-optimized PuPa6Pt5 structure. The functional is GGA-PBE.

## Properties
total magnetization = 5.37 Bohr magnetons per cell
symmetry = Cmmm, No. 65
ΔE_f = -0.67 eV per atom
density = 16.7 g/cm3
volume = 21.65 Å³/atom

Cell: 8.2510 8.2510 7.3109 Å, 90.00 90.00 148.54°
With the nearest neighbours (Å) after each atom.
Positions (direct):
Pu 0.0000 0.0000 0.0000  4 Pa 2.82
Pa 0.1847 0.8153 0.2542  6 Pt 2.94-3.26, 2 Pa 3.05
Pa 0.1847 0.8153 0.7458  6 Pt 2.94-3.26, 2 Pa 3.05
Pa 0.5000 0.5000 0.2349  2 Pu 2.82, 6 Pt 2.96-3.00
Pa 0.5000 0.5000 0.7651  2 Pu 2.82, 6 Pt 2.96-3.00
Pa 0.8153 0.1847 0.2542  6 Pt 2.94-3.26, 2 Pa 3.05
Pa 0.8153 0.1847 0.7458  6 Pt 2.94-3.26, 2 Pa 3.05
Pt 0.0000 0.0000 0.5000  4 Pa 2.96, 4 Pt 3.20
Pt 0.3448 0.6552 0.0000  8 Pa 2.95-3.15
Pt 0.3556 0.6444 0.5000  8 Pa 2.94-3.26, 2 Pt 3.20
Pt 0.6444 0.3556 0.5000  8 Pa 2.94-3.26, 2 Pt 3.20
Pt 0.6552 0.3448 0.0000  8 Pa 2.95-3.15

(3)
This record from Alexandria via LeMat-Bulk describes a geometry-optimized Pu2PaPt3 structure. The functional is GGA-PBE.

## Properties
total magnetization = 0.53 Bohr magnetons per cell
E above lowest polymorph = 13 meV/atom
symmetry = Pm, No. 6
ΔE_f = -0.78 eV per atom
density = 17.2 g/cm3
volume = 21.01 Å³/atom

Cell: 5.0089 3.6063 7.4146 Å, 90.00 109.71 90.00°
With the nearest neighbours (Å) after each atom.
Positions (direct):
Pu 0.0000 0.0000 0.0000  1 Pu 2.69
Pu 0.2052 0.0000 0.7080  1 Pu 2.69, 1 Pa 2.95, 2 Pt 3.00
Pa 0.6728 0.0000 0.3784  8 Pt 2.86-3.15, 1 Pu 2.95
Pt 0.1431 0.5000 0.3473  2 Pt 2.92-3.07, 4 Pu 3.03-3.15, 4 Pa 3.04-3.15
Pt 0.5390 0.5000 0.0559  2 Pa 2.89, 6 Pu 3.07-3.16, 2 Pt 3.07-3.08
Pt 0.6655 0.5000 0.6767  2 Pa 2.86, 2 Pt 2.92-3.08, 6 Pu 3.00-3.19

(4)
This record from Alexandria via LeMat-Bulk describes a geometry-optimized PuPa3Pt6 structure. The functional is GGA-PBE.

## Properties
total magnetization = 11.43 Bohr magnetons per cell
symmetry = P2_1/m, No. 11
ΔE_f = -0.83 eV per atom
density = 16.0 g/cm3
volume = 21.81 Å³/atom

Cell: 9.2353 4.1118 11.7955 Å, 90.00 103.17 90.00°
With the nearest neighbours (Å) after each atom.
Positions (direct):
Pu 0.1572 0.2500 0.3470  8 Pt 2.96-3.19
Pu 0.8428 0.7500 0.6530  8 Pt 2.96-3.19
Pa 0.2108 0.7500 0.9295  7 Pt 2.87-3.08
Pa 0.2369 0.2500 0.6679  6 Pt 2.87-3.08
Pa 0.4215 0.2500 0.1878  6 Pt 2.78-2.90
Pa 0.5785 0.7500 0.8122  6 Pt 2.78-2.90
Pa 0.7631 0.7500 0.3321  6 Pt 2.87-3.08
Pa 0.7892 0.2500 0.0705  7 Pt 2.87-3.08
Pt 0.0185 0.2500 0.8107  3 Pa 2.87-2.91, 3 Pt 2.94-3.02, 2 Pu 2.99
Pt 0.0981 0.7500 0.5106  3 Pt 2.70-2.71, 2 Pa 2.87, 2 Pu 2.96
Pt 0.1236 0.2500 0.0727  4 Pa 2.78-3.08, 3 Pt 2.94-3.02
Pt 0.3950 0.7500 0.3415  3 Pt 2.76-2.83, 2 Pa 2.79, 2 Pu 3.02
Pt 0.3974 0.7500 0.5762  4 Pt 2.70-2.83, 3 Pa 2.89-2.90
Pt 0.4363 0.2500 0.9155  5 Pa 2.86-3.08, 2 Pt 2.92
Pt 0.5637 0.7500 0.0845  5 Pa 2.86-3.08, 2 Pt 2.92
Pt 0.6026 0.2500 0.4238  4 Pt 2.70-2.83, 3 Pa 2.89-2.90
Pt 0.6050 0.2500 0.6585  3 Pt 2.76-2.83, 2 Pa 2.79, 2 Pu 3.02
Pt 0.8764 0.7500 0.9273  4 Pa 2.78-3.08, 3 Pt 2.94-3.02
Pt 0.9019 0.2500 0.4894  3 Pt 2.70-2.71, 2 Pa 2.87, 2 Pu 2.96
Pt 0.9815 0.7500 0.1893  3 Pa 2.87-2.91, 3 Pt 2.94-3.02, 2 Pu 2.99

(5)
This record from Alexandria via LeMat-Bulk describes a geometry-optimized Pu3PaPt3 structure. The functional is GGA-PBE.

## Properties
total magnetization = 24.88 Bohr magnetons per cell
E above lowest polymorph = 33 meV/atom
symmetry = Pnma, No. 62
ΔE_f = -0.59 eV per atom
density = 15.1 g/cm3
volume = 24.31 Å³/atom

Cell: 13.8293 4.2693 11.5304 Å, 90.00 90.00 90.00°
With the nearest neighbours (Å) after each atom.
Positions (direct):
Pu 0.0655 0.2500 0.1234  6 Pt 2.91-3.12
Pu 0.2102 0.7500 0.4755  5 Pt 2.93-3.17, 2 Pu 3.15
Pu 0.2150 0.7500 0.7964  5 Pt 2.94-3.06, 2 Pu 3.15
Pu 0.2850 0.2500 0.2964  5 Pt 2.94-3.06, 2 Pu 3.15
Pu 0.2898 0.2500 0.9755  5 Pt 2.93-3.17, 2 Pu 3.15
Pu 0.4345 0.7500 0.6234  6 Pt 2.91-3.12
Pu 0.5655 0.2500 0.3766  6 Pt 2.91-3.12
Pu 0.7102 0.7500 0.0245  5 Pt 2.93-3.17, 2 Pu 3.15
Pu 0.7150 0.7500 0.7036  5 Pt 2.94-3.06, 2 Pu 3.15
Pu 0.7850 0.2500 0.2036  5 Pt 2.94-3.06, 2 Pu 3.15
Pu 0.7898 0.2500 0.5245  5 Pt 2.93-3.17, 2 Pu 3.15
Pu 0.9345 0.7500 0.8766  6 Pt 2.91-3.12
Pa 0.0580 0.2500 0.6290  5 Pt 2.79-2.93
Pa 0.4420 0.7500 0.1290  5 Pt 2.79-2.93
Pa 0.5580 0.2500 0.8710  5 Pt 2.79-2.93
Pa 0.9420 0.7500 0.3710  5 Pt 2.79-2.93
Pt 0.0754 0.2500 0.3809  3 Pa 2.82-2.87, 4 Pu 2.97-3.06
Pt 0.0779 0.2500 0.8701  1 Pa 2.79, 5 Pu 2.91-2.98
Pt 0.2303 0.7500 0.1341  1 Pa 2.93, 6 Pu 2.93-3.12
Pt 0.2697 0.2500 0.6341  1 Pa 2.93, 6 Pu 2.93-3.12
Pt 0.4221 0.7500 0.3701  1 Pa 2.79, 5 Pu 2.91-2.98
Pt 0.4246 0.7500 0.8809  3 Pa 2.82-2.87, 4 Pu 2.97-3.06
Pt 0.5754 0.2500 0.1191  3 Pa 2.82-2.87, 4 Pu 2.97-3.06
Pt 0.5779 0.2500 0.6299  1 Pa 2.79, 5 Pu 2.91-2.98
Pt 0.7303 0.7500 0.3659  1 Pa 2.93, 6 Pu 2.93-3.12
Pt 0.7697 0.2500 0.8659  1 Pa 2.93, 6 Pu 2.93-3.12
Pt 0.9221 0.7500 0.1299  1 Pa 2.79, 5 Pu 2.91-2.98
Pt 0.9246 0.7500 0.6191  3 Pa 2.82-2.87, 4 Pu 2.97-3.06

(6)
This record from Alexandria via LeMat-Bulk describes a geometry-optimized PuPaPt structure. The functional is GGA-PBE.

## Properties
total magnetization = 0.00 Bohr magnetons per cell
E above lowest polymorph = 347 meV/atom
symmetry = I4/mmm, No. 139
ΔE_f = -0.24 eV per atom
density = 17.9 g/cm3
volume = 20.67 Å³/atom

Cell: 3.2977 3.2977 22.8034 Å, 90.00 90.00 90.00°
With the nearest neighbours (Å) after each atom.
Positions (direct):
Pu 0.0000 0.0000 0.2298  4 Pu 2.51
Pu 0.0000 0.0000 0.7702  4 Pu 2.51
Pu 0.5000 0.5000 0.2702  4 Pu 2.51
Pu 0.5000 0.5000 0.7298  4 Pu 2.51
Pa 0.0000 0.0000 0.0606  1 Pa 2.76, 4 Pt 2.89
Pa 0.0000 0.0000 0.9394  1 Pa 2.76, 4 Pt 2.89
Pa 0.5000 0.5000 0.4394  1 Pa 2.76, 4 Pt 2.89
Pa 0.5000 0.5000 0.5606  1 Pa 2.76, 4 Pt 2.89
Pt 0.0000 0.0000 0.3645  4 Pa 2.89, 5 Pu 3.07-3.17
Pt 0.0000 0.0000 0.6355  4 Pa 2.89, 5 Pu 3.07-3.17
Pt 0.5000 0.5000 0.1355  4 Pa 2.89, 5 Pu 3.07-3.17
Pt 0.5000 0.5000 0.8645  4 Pa 2.89, 5 Pu 3.07-3.17

(7)
This record from Alexandria via LeMat-Bulk describes a geometry-optimized PuPa5Pt structure. The functional is GGA-PBE.

## Properties
total magnetization = 0.00 Bohr magnetons per cell
symmetry = C2/c, No. 15
ΔE_f = 0.05 eV per atom
density = 12.6 g/cm3
volume = 29.92 Å³/atom

Cell: 7.1079 7.1079 9.3999 Å, 108.24 108.24 73.35°
With the nearest neighbours (Å) after each atom.
Positions (direct):
Pu 0.0413 0.9587 0.7500  5 Pa 2.43-2.48
Pu 0.9587 0.0413 0.2500  5 Pa 2.43-2.48
Pa 0.1653 0.8249 0.0660  1 Pu 2.48
Pa 0.1751 0.8347 0.4340  1 Pu 2.48
Pa 0.1868 0.2760 0.3576  1 Pu 2.43
Pa 0.2760 0.1868 0.8576  1 Pu 2.43
Pa 0.3326 0.6674 0.7500  1 Pu 2.47, 2 Pt 2.75
Pa 0.6674 0.3326 0.2500  1 Pu 2.47, 2 Pt 2.75
Pa 0.7240 0.8132 0.1424  1 Pu 2.43
Pa 0.8132 0.7240 0.6424  1 Pu 2.43
Pa 0.8249 0.1653 0.5660  1 Pu 2.48
Pa 0.8347 0.1751 0.9340  1 Pu 2.48
Pt 0.5000 0.5000 0.0000  6 Pa 2.75-2.87
Pt 0.5000 0.5000 0.5000  6 Pa 2.75-2.87

(8)
This record from Alexandria via LeMat-Bulk describes a geometry-optimized PuPa6Pt3 structure. The functional is GGA-PBE.

## Properties
total magnetization = 0.00 Bohr magnetons per cell
symmetry = P2_1/c, No. 14
ΔE_f = -0.60 eV per atom
density = 15.2 g/cm3
volume = 24.20 Å³/atom

Cell: 6.4867 7.4410 11.7039 Å, 90.00 121.04 90.00°
With the nearest neighbours (Å) after each atom.
Positions (direct):
Pu 0.0000 0.0000 0.0000  6 Pa 2.48-2.49
Pu 0.0000 0.5000 0.5000  6 Pa 2.48-2.49
Pa 0.0930 0.0395 0.2329  1 Pu 2.49
Pa 0.0930 0.4605 0.7329  1 Pu 2.49
Pa 0.2048 0.7046 0.0651  1 Pu 2.48
Pa 0.2048 0.7954 0.5651  1 Pu 2.48
Pa 0.3828 0.1579 0.0639  1 Pu 2.49
Pa 0.3828 0.3421 0.5639  1 Pu 2.49
Pa 0.6172 0.6579 0.4361  1 Pu 2.49
Pa 0.6172 0.8421 0.9361  1 Pu 2.49
Pa 0.7952 0.2046 0.4349  1 Pu 2.48
Pa 0.7952 0.2954 0.9349  1 Pu 2.48
Pa 0.9070 0.5395 0.2671  1 Pu 2.49
Pa 0.9070 0.9605 0.7671  1 Pu 2.49
Pt 0.2958 0.1017 0.7388  6 Pa 2.90-3.19
Pt 0.2958 0.3983 0.2388  6 Pa 2.90-3.19
Pt 0.5000 0.0000 0.5000  6 Pa 2.84-2.88
Pt 0.5000 0.5000 0.0000  6 Pa 2.84-2.88
Pt 0.7042 0.6017 0.7612  6 Pa 2.90-3.19
Pt 0.7042 0.8983 0.2612  6 Pa 2.90-3.19

(9)
This record from Alexandria via LeMat-Bulk describes a geometry-optimized PuPaPt3 structure. The functional is GGA-PBE.

## Properties
total magnetization = 11.16 Bohr magnetons per cell
E above lowest polymorph = 0 meV/atom
symmetry = Pmmn, No. 59
ΔE_f = -0.90 eV per atom
density = 16.2 g/cm3
volume = 21.70 Å³/atom

Cell: 4.1710 5.6738 9.1687 Å, 90.00 90.00 90.00°
With the nearest neighbours (Å) after each atom.
Positions (direct):
Pu 0.2500 0.2500 0.0503  7 Pt 2.94-3.08
Pu 0.7500 0.7500 0.9497  7 Pt 2.94-3.08
Pa 0.2500 0.7500 0.3960  8 Pt 2.84-2.95
Pa 0.7500 0.2500 0.6040  8 Pt 2.84-2.95
Pt 0.2500 0.2500 0.3859  4 Pa 2.84-2.89, 4 Pt 2.89, 1 Pu 3.08
Pt 0.2500 0.5014 0.7696  4 Pt 2.82-2.89, 3 Pu 2.94-3.01, 2 Pa 2.95
Pt 0.2500 0.9986 0.7696  4 Pt 2.82-2.89, 3 Pu 2.94-3.01, 2 Pa 2.95
Pt 0.7500 0.0014 0.2304  4 Pt 2.82-2.89, 3 Pu 2.94-3.01, 2 Pa 2.95
Pt 0.7500 0.4986 0.2304  4 Pt 2.82-2.89, 3 Pu 2.94-3.01, 2 Pa 2.95
Pt 0.7500 0.7500 0.6141  4 Pa 2.84-2.89, 4 Pt 2.89, 1 Pu 3.08

(10)
This record from Alexandria via LeMat-Bulk describes a geometry-optimized PuPaPt structure. The functional is GGA-PBE.

## Properties
total magnetization = 5.18 Bohr magnetons per cell
E above lowest polymorph = 225 meV/atom
symmetry = P-6m2, No. 187
ΔE_f = -0.36 eV per atom
density = 18.3 g/cm3
volume = 20.32 Å³/atom

Cell: 4.9115 4.9115 2.9173 Å, 90.00 90.00 120.00°
With the nearest neighbours (Å) after each atom.
Positions (direct):
Pu 0.0000 0.0000 0.0000  3 Pa 2.84, 2 Pu 2.92
Pa 0.6667 0.3333 0.0000  3 Pu 2.84, 2 Pa 2.92
Pt 0.3333 0.6667 0.5000  2 Pt 2.92, 6 Pu 3.19, 6 Pa 3.19

(11)
This record from Alexandria via LeMat-Bulk describes a geometry-optimized Pu2Pa3Pt2 structure. The functional is GGA-PBE.

## Properties
total magnetization = 3.68 Bohr magnetons per cell
symmetry = C2/m, No. 12
ΔE_f = -0.42 eV per atom
density = 18.1 g/cm3
volume = 20.56 Å³/atom

Cell: 9.4998 5.1213 6.0242 Å, 90.00 100.83 90.00°
With the nearest neighbours (Å) after each atom.
Positions (direct):
Pu 0.1130 0.0000 0.4671  1 Pu 2.26
Pu 0.3870 0.5000 0.5329  1 Pu 2.26
Pu 0.6130 0.5000 0.4671  1 Pu 2.26
Pu 0.8870 0.0000 0.5329  1 Pu 2.26
Pa 0.0000 0.0000 0.0000  2 Pu 2.82, 4 Pt 2.97
Pa 0.1486 0.5000 0.6939  3 Pu 2.63-2.89, 1 Pt 2.86
Pa 0.3514 0.0000 0.3061  3 Pu 2.63-2.89, 1 Pt 2.86
Pa 0.5000 0.5000 0.0000  2 Pu 2.82, 4 Pt 2.97
Pa 0.6486 0.0000 0.6939  3 Pu 2.63-2.89, 1 Pt 2.86
Pa 0.8514 0.5000 0.3061  3 Pu 2.63-2.89, 1 Pt 2.86
Pt 0.1403 0.5000 0.1660  5 Pa 2.86-3.17, 3 Pu 2.90-3.18, 1 Pt 3.02
Pt 0.3597 0.0000 0.8340  5 Pa 2.86-3.17, 3 Pu 2.90-3.18, 1 Pt 3.02
Pt 0.6403 0.0000 0.1660  5 Pa 2.86-3.17, 3 Pu 2.90-3.18, 1 Pt 3.02
Pt 0.8597 0.5000 0.8340  5 Pa 2.86-3.17, 3 Pu 2.90-3.18, 1 Pt 3.02

- density of number 8 (PuPa6Pt3)?
  15.2 g/cm3

- Which of these has the lowest ΔE_f?
  PuPaPt3